Entry 1:
Material: Cd2ReAu
Method: DFT, PBEsol
State: optimized geometry

Unit cell a=4.1865 b=4.1865 c=3.9140 alpha=90.00 beta=90.00 gamma=90.00
Closest atoms and distances in Å follow each position.
Space group P4/mmm (No. 123)
One atom of each set of equivalent atoms:
Cd 0.0000 0.5000 0.0000 x2  4 Au 2.87, 4 Re 2.87, 4 Cd 2.96
Re 0.0000 0.0000 0.5000 x1  8 Cd 2.87, 4 Au 2.96
Au 0.5000 0.5000 0.5000 x1  8 Cd 2.87, 4 Re 2.96

Results
energy above the lowest structure with this stoichiometry: 118 meV per atom


Entry 2:
Material: ZrMnIn2
Method: DFT, PBEsol
State: optimized geometry

Unit cell a=3.0155 b=3.9175 c=6.4425 alpha=90.00 beta=90.00 gamma=90.00
Closest atoms and distances in Å follow each position.
Space group Pmmm (No. 47)
One atom of each set of equivalent atoms:
Zr 0.0000 0.0000 0.0000 x1  2 Zr 3.02, 8 In 3.04, 2 Mn 3.22
Mn 0.0000 0.0000 0.5000 x1  8 In 2.87, 2 Mn 3.02
In 0.5000 0.5000 0.2743 x2  4 Mn 2.87, 3 In 2.91-3.02, 4 Zr 3.04

Results
total DFT energy (no corrections): -6.20 eV/atom


Entry 3:
Material: TcTeP2
Method: DFT, PBEsol
State: optimized geometry

Unit cell a=3.1075 b=3.1075 c=24.8192 alpha=90.00 beta=90.00 gamma=120.00
Closest atoms and distances in Å follow each position.
Space group R-3m (No. 166, hexagonal axes)
One atom of each set of equivalent atoms:
Tc 0.0000 0.0000 0.0000 x3  6 P 2.41
Te 0.0000 0.0000 0.5000 x3  6 P 3.10, 6 Te 3.11
P 0.0000 0.0000 0.2683 x6  3 Tc 2.41

Results
total DFT energy (no corrections): -6.66 eV/atom


Entry 4:
Material: ZrMoWO8
Method: DFT, PBEsol
State: optimized geometry

Unit cell a=9.8135 b=9.8135 c=17.7706 alpha=90.00 beta=90.00 gamma=120.00
Closest atoms and distances in Å follow each position.
Space group R3 (No. 146, hexagonal axes)
One atom of each set of equivalent atoms:
Zr 0.0000 0.0000 0.0000 x3  6 O 2.07-2.09
Zr 0.0000 0.0000 0.2896 x3  6 O 2.07-2.10
Zr 0.0000 0.0000 0.5848 x3  6 O 2.05-2.10
Mo 0.0378 0.3620 0.3928 x9  4 O 1.75-1.80
W 0.0039 0.7040 0.8563 x9  4 O 1.77-1.83
O 0.0037 0.1722 0.6567 x9  1 Mo 1.78
O 0.0221 0.1850 0.3572 x9  1 Mo 1.78
O 0.0250 0.1913 0.0602 x9  1 Mo 1.80
O 0.0448 0.5865 0.4346 x9  1 W 1.77
O 0.1251 0.3770 0.4804 x9  1 Mo 1.75
O 0.1685 0.6884 0.8928 x9  1 W 1.82
O 0.1691 0.6732 0.5942 x9  1 W 1.80
O 0.1714 0.6927 0.1896 x9  1 W 1.83

Results
total DFT energy (no corrections): -9.37 eV/atom


Entry 5:
Material: KSe2BrN
Method: DFT, PBEsol
State: optimized geometry

Unit cell a=4.1998 b=4.1998 c=7.5490 alpha=90.00 beta=90.00 gamma=90.00
Closest atoms and distances in Å follow each position.
Space group P4/mmm (No. 123)
One atom of each set of equivalent atoms:
K 0.0000 0.0000 0.0000 x1  4 Br 2.97
Se 0.0000 0.5000 0.5000 x2  2 N 2.10
Br 0.5000 0.5000 0.0000 x1  4 K 2.97
N 0.5000 0.5000 0.5000 x1  4 Se 2.10

Results
total DFT energy (no corrections): -3.69 eV/atom


Entry 6:
Material: TaCd3Ge
Method: DFT, PBEsol
State: optimized geometry

Unit cell a=5.2516 b=5.2516 c=5.2516 alpha=90.00 beta=90.00 gamma=90.00
Closest atoms and distances in Å follow each position.
Space group Pm-3m (No. 221)
One atom of each set of equivalent atoms:
Ta 0.0000 0.0000 0.0000 x1  6 Cd 2.63
Cd 0.0000 0.0000 0.5000 x3  2 Ta 2.63
Ge 0.5000 0.5000 0.5000 x1  12 Cd 3.71

Results
total DFT energy (no corrections): -2.84 eV/atom


Number 1: mass density 14.72 Mg/m³. Number 2: mass density 8.20 Mg/m³. Number 3: mass density 6.90 Mg/m³. Number 4: mass density 5.03 Mg/m³. Number 5: mass density 3.63 Mg/m³. Number 6: mass density 6.77 Mg/m³.